Material: VTcNF2
Method: DFT, PBE with a Hubbard U
State: relaxed

Lattice parameters (Å, degrees): 4.174 4.174 3.853 90.00 90.00 90.00
Space group P4/mmm (No. 123)
Symmetry-distinct sites (fractional):
V1 0.000 0.000 0.000 x1
Tc1 0.500 0.500 0.500 x1
N1 0.500 0.500 0.000 x1
F1 0.000 0.500 0.500 x2

Computed properties:
Crystal system   tetragonal
Total magnetization   2.87 μB per cell
Energy above the most stable polymorph in this dataset   80.1 meV per atom
VASP energy   -31.71 eV/cell